MnAlPt3: relaxed, PBE.

Properties
The calculation puts the calculated formation energy at 0.822 eV/atom. As for the energy relative to the lowest polymorph listed for this composition: 708 kJ/mol of formula units. The calculation puts the spin magnetization at 0.0 μB per formula unit.

```
data_MnAlPt3
_chemical_formula_sum 'Mn1 Al1 Pt3'
_cell_length_a 4.565
_cell_length_b 4.565
_cell_length_c 4.565
_cell_angle_alpha 90.00
_cell_angle_beta 90.00
_cell_angle_gamma 90.00
_symmetry_space_group_name_H-M 'P m -3 m'
_symmetry_Int_Tables_number 221
_symmetry_space_group_name_Hall '-P 4 2 3'
loop_
_atom_site_label
_atom_site_fract_x
_atom_site_fract_y
_atom_site_fract_z
Mn1 0.000 0.000 0.000
Al1 0.500 0.500 0.500
Pt1 0.000 0.000 0.500
```



Mn2AlPt: relaxed, PBE.

Properties
The calculation puts the calculated formation energy at -0.094 eV/atom. The calculation puts the spin magnetization at 6.9 μB per formula unit.

```
data_Mn2AlPt
_chemical_formula_sum 'Mn6 Al3 Pt3'
_cell_length_a 2.8045
_cell_length_b 2.8045
_cell_length_c 25.8274
_cell_angle_alpha 90.00
_cell_angle_beta 90.00
_cell_angle_gamma 120.00
_symmetry_space_group_name_H-M 'R -3 m'
_symmetry_Int_Tables_number 166
_symmetry_space_group_name_Hall '-R 3 2"'
loop_
_atom_site_label
_atom_site_fract_x
_atom_site_fract_y
_atom_site_fract_z
Mn1 0.0000 0.0000 0.2484
Al1 0.0000 0.0000 0.5000
Pt1 0.0000 0.0000 0.0000
```



MnAl2Pt9: relaxed, PBE.

Properties
The calculation puts the calculated formation energy at -0.580 eV/atom. The calculation puts the spin magnetization at 4.1 μB per formula unit.

```
data_MnAl2Pt9
_chemical_formula_sum 'Mn1 Al2 Pt9'
_cell_length_a 3.926
_cell_length_b 3.926
_cell_length_c 11.753
_cell_angle_alpha 90.00
_cell_angle_beta 90.00
_cell_angle_gamma 90.00
_symmetry_space_group_name_H-M 'P 4/m m m'
_symmetry_Int_Tables_number 123
_symmetry_space_group_name_Hall '-P 4 2'
loop_
_atom_site_label
_atom_site_fract_x
_atom_site_fract_y
_atom_site_fract_z
Mn1 0.000 0.000 0.000
Al1 0.000 0.000 0.333
Pt1 0.000 0.500 0.168
Pt2 0.000 0.500 0.500
Pt3 0.500 0.500 0.000
Pt4 0.500 0.500 0.334
```



Mn2AlPt2: relaxed, PBE.

Properties
The calculation puts the calculated formation energy at 0.079 eV/atom. As for the energy relative to the lowest polymorph listed for this composition: 198 kJ/mol of formula units. The calculation puts the spin magnetization at 1.8 μB per formula unit.

```
data_Mn2AlPt2
_chemical_formula_sum 'Mn4 Al2 Pt4'
_cell_length_a 3.856
_cell_length_b 3.856
_cell_length_c 10.275
_cell_angle_alpha 90.00
_cell_angle_beta 90.00
_cell_angle_gamma 90.00
_symmetry_space_group_name_H-M 'I 4/m m m'
_symmetry_Int_Tables_number 139
_symmetry_space_group_name_Hall '-I 4 2'
loop_
_atom_site_label
_atom_site_fract_x
_atom_site_fract_y
_atom_site_fract_z
Mn1 0.000 0.000 0.092
Al1 0.000 0.000 0.500
Pt1 0.000 0.500 0.250
```



Mn2AlPt: relaxed, PBE.

Properties
The calculation puts the calculated formation energy at -0.205 eV/atom. The calculation puts the spin magnetization at 1.1 μB per formula unit.

```
data_Mn2AlPt
_chemical_formula_sum 'Mn6 Al3 Pt3'
_cell_length_a 2.7556
_cell_length_b 2.7556
_cell_length_c 25.0146
_cell_angle_alpha 90.00
_cell_angle_beta 90.00
_cell_angle_gamma 120.00
_symmetry_space_group_name_H-M 'R 3 m'
_symmetry_Int_Tables_number 160
_symmetry_space_group_name_Hall 'R 3 -2"'
loop_
_atom_site_label
_atom_site_fract_x
_atom_site_fract_y
_atom_site_fract_z
Mn1 0.0000 0.0000 0.0000
Mn2 0.0000 0.0000 0.2568
Al1 0.0000 0.0000 0.5086
Pt1 0.0000 0.0000 0.7560
```



MnAlPt4: relaxed, PBE.

Properties
The calculation puts the calculated formation energy at -0.442 eV/atom. As for the energy relative to the lowest polymorph listed for this composition: 6 kJ/mol of formula units. The calculation puts the spin magnetization at 4.0 μB per formula unit.

```
data_MnAlPt4
_chemical_formula_sum 'Mn3 Al3 Pt12'
_cell_length_a 4.1375
_cell_length_b 4.1375
_cell_length_c 20.2814
_cell_angle_alpha 90.00
_cell_angle_beta 90.00
_cell_angle_gamma 120.00
_symmetry_space_group_name_H-M 'R -3 m'
_symmetry_Int_Tables_number 166
_symmetry_space_group_name_Hall '-R 3 2"'
loop_
_atom_site_label
_atom_site_fract_x
_atom_site_fract_y
_atom_site_fract_z
Mn1 0.0000 0.0000 0.0000
Al1 0.0000 0.0000 0.5000
Pt1 0.0000 0.0000 0.1259
Pt2 0.0000 0.0000 0.3764
```



Mn2AlPt: relaxed, PBE.

Properties
The calculation puts the calculated formation energy at -0.321 eV/atom. The calculation puts the spin magnetization at 6.1 μB per formula unit.

```
data_Mn2AlPt
_chemical_formula_sum 'Mn4 Al2 Pt2'
_cell_length_a 5.314
_cell_length_b 7.569
_cell_length_c 2.794
_cell_angle_alpha 90.00
_cell_angle_beta 90.00
_cell_angle_gamma 90.00
_symmetry_space_group_name_H-M 'C m m m'
_symmetry_Int_Tables_number 65
_symmetry_space_group_name_Hall '-C 2 2'
loop_
_atom_site_label
_atom_site_fract_x
_atom_site_fract_y
_atom_site_fract_z
Mn1 0.250 0.250 0.000
Al1 0.000 0.000 0.500
Pt1 0.000 0.500 0.500
```



MnAlPt3: relaxed, PBE.

Properties
The calculation puts the calculated formation energy at -0.645 eV/atom. As for the energy relative to the lowest polymorph listed for this composition: 0 kJ/mol of formula units. The calculation puts the spin magnetization at 4.0 μB per formula unit.

```
data_MnAlPt3
_chemical_formula_sum 'Mn4 Al4 Pt12'
_cell_length_a 4.476
_cell_length_b 15.204
_cell_length_c 4.477
_cell_angle_alpha 90.00
_cell_angle_beta 101.13
_cell_angle_gamma 90.00
_symmetry_space_group_name_H-M 'C 1 2/c 1'
_symmetry_Int_Tables_number 15
_symmetry_space_group_name_Hall '-C 2yc'
loop_
_atom_site_label
_atom_site_fract_x
_atom_site_fract_y
_atom_site_fract_z
Mn1 0.000 0.149 0.250
Al1 0.000 0.352 0.250
Pt1 0.000 0.059 0.750
Pt2 0.000 0.250 0.750
Pt3 0.000 0.439 0.750
```